This record from Alexandria via LeMat-Bulk describes a crystal of BeTlSe3 relaxed with PBEsol. The functional is SCAN.

Values from the calculation:
Density of states at the Fermi level   5.7 states/eV per cell
E   -26.21 eV/atom
Formation energy (no corrections)   5.90 eV/f.u.

```
data_BeTlSe3
_symmetry_space_group_name_H-M 'P m -3 m'
_symmetry_Int_Tables_number 221
_symmetry_space_group_name_Hall '-P 4 2 3'
_cell_length_a 5.2501
_cell_length_b 5.2501
_cell_length_c 5.2501
_cell_angle_alpha 90.00
_cell_angle_beta 90.00
_cell_angle_gamma 90.00
loop_
_atom_site_label
_atom_site_fract_x
_atom_site_fract_y
_atom_site_fract_z
_atom_site_occupancy
Be1 0.0000 0.0000 0.0000 1
Tl1 0.5000 0.5000 0.5000 1
Se1 0.0000 0.5000 0.5000 1
```

This record from Alexandria via LeMat-Bulk describes a crystal of Re2SiTc relaxed with PBEsol. The functional is SCAN.

Values from the calculation:
Density of states at the Fermi level   2.4 states/eV per cell
E   -46.85 eV/atom
Formation energy (no corrections)   -0.12 eV/f.u.

```
data_Re2SiTc
_symmetry_space_group_name_H-M 'P m m m'
_symmetry_Int_Tables_number 47
_symmetry_space_group_name_Hall '-P 2 2'
_cell_length_a 2.9865
_cell_length_b 4.2664
_cell_length_c 4.3500
_cell_angle_alpha 90.00
_cell_angle_beta 90.00
_cell_angle_gamma 90.00
loop_
_atom_site_label
_atom_site_fract_x
_atom_site_fract_y
_atom_site_fract_z
_atom_site_occupancy
Re1 0.0000 0.0000 0.0000 1
Re2 0.5000 0.5000 0.0000 1
Si1 0.0000 0.5000 0.5000 1
Tc1 0.5000 0.0000 0.5000 1
```

This record from Alexandria via LeMat-Bulk describes a crystal of Fe2BiWC relaxed with PBEsol. The functional is SCAN.

Values from the calculation:
Density of states at the Fermi level   3.3 states/eV per cell
E   -35.55 eV/atom
Energy of formation   1628.9 kJ/mol of formula units

```
data_Fe2BiWC
_symmetry_space_group_name_H-M 'P 4/m m m'
_symmetry_Int_Tables_number 123
_symmetry_space_group_name_Hall '-P 4 2'
_cell_length_a 4.7166
_cell_length_b 4.7166
_cell_length_c 5.1719
_cell_angle_alpha 90.00
_cell_angle_beta 90.00
_cell_angle_gamma 90.00
loop_
_atom_site_label
_atom_site_fract_x
_atom_site_fract_y
_atom_site_fract_z
_atom_site_occupancy
Fe1 0.0000 0.5000 0.0000 1
Bi1 0.0000 0.0000 0.0000 1
W1 0.0000 0.0000 0.5000 1
C1 0.5000 0.5000 0.5000 1
```

This record from Alexandria via LeMat-Bulk describes a crystal of Al2CdSe relaxed with PBEsol. The functional is SCAN.

Values from the calculation:
Density of states at the Fermi level   1.2 states/eV per cell
E   -16.45 eV/atom
Formation energy (no corrections)   0.22 eV/f.u.

```
data_Al2CdSe
_symmetry_space_group_name_H-M 'P 4/m m m'
_symmetry_Int_Tables_number 123
_symmetry_space_group_name_Hall '-P 4 2'
_cell_length_a 3.2618
_cell_length_b 3.2618
_cell_length_c 7.1110
_cell_angle_alpha 90.00
_cell_angle_beta 90.00
_cell_angle_gamma 90.00
loop_
_atom_site_label
_atom_site_fract_x
_atom_site_fract_y
_atom_site_fract_z
_atom_site_occupancy
Al1 0.0000 0.0000 0.2218 1
Cd1 0.5000 0.5000 0.5000 1
Se1 0.5000 0.5000 0.0000 1
```